Density functional theory data (GGA+U) for a geometry-optimized Li2B2MoO6 structure.

Values from the calculation:
Density of states at the Fermi level   0.000 states/eV/f.u.
Electronic total energy   -7.0654 eV per atom

abc: 4.885 4.885 6.097
angles: 90.00 90.00 120.00
Last column: magnetic moment on the atom in μB.
Atoms (fractional coordinates):
O 0.629 0.937 0.798  0.00
O 0.063 0.692 0.798  0.00
O 0.308 0.371 0.798  0.00
O 0.937 0.308 0.202  0.00
O 0.692 0.629 0.202  0.00
O 0.371 0.063 0.202  0.00
Mo 0.000 0.000 0.000  1.90
Li 0.333 0.667 0.285  0.00
Li 0.667 0.333 0.715  0.00
B 0.667 0.333 0.200  0.02
B 0.333 0.667 0.800  0.02